[1]
An optimized crystal structure of Tl4CoHg, computed with GGA-PBE.

Structure (POSCAR):
```
Tl4CoHg
1.0
0.000 4.467 4.467
4.467 0.000 4.467
4.467 4.467 0.000
Tl Co Hg
4 1 1
direct
0.125 0.125 0.125 Tl
0.125 0.125 0.626 Tl
0.125 0.626 0.125 Tl
0.626 0.125 0.125 Tl
0.750 0.750 0.750 Co
0.500 0.500 0.500 Hg
```

DFT formation energy: 673 meV/atom


[2]
An optimized crystal structure of ScTc2Se, computed with GGA-PBE.

Structure (POSCAR):
```
ScTc2Se
1.0
1.621 -2.510 0.000
1.621 2.510 0.000
0.000 0.000 8.288
Sc Tc Se
1 2 1
direct
0.000 0.000 0.000 Sc
0.500 0.500 0.268 Tc
0.500 0.500 0.732 Tc
0.000 0.000 0.500 Se
```

ΔE_f (raw): 112 kJ/mol of formula units


[3]
An optimized crystal structure of In2CuRh, computed with GGA-PBE.

Structure (POSCAR):
```
In2CuRh
1.0
-3.628 3.628 2.883
3.628 -3.628 2.883
3.628 3.628 -2.883
In Cu Rh
4 2 2
direct
0.117 0.625 0.992 In
0.375 0.367 0.492 In
0.633 0.125 0.008 In
0.875 0.883 0.508 In
0.000 0.000 0.000 Cu
0.750 0.250 0.500 Cu
0.250 0.750 0.500 Rh
0.500 0.500 0.000 Rh
```

DFT formation energy: 159 meV/atom


| no. | volume (Å³/cell) | N(E_F) (states/eV/f.u.) |
| --- | --- | --- |
| 1 | 178.2 | 8.38 |
| 2 | 67.4 | 3.65 |
| 3 | 151.8 | 2.03 |